(1)
First-principles (PBE-GGA) data for a relaxed Sc2ZnCo crystal, as listed in Alexandria via LeMat-Bulk.

```
Sc2ZnCo
1.0
7.623 -0.186 -0.110
6.923 3.197 -0.110
6.923 1.433 2.860
Co Sc Zn
1 2 1
Direct
0.750 0.750 0.750
0.014 0.014 0.014
0.486 0.486 0.486
0.250 0.250 0.250
```

## Properties
Symmetry   No. 166
Energy of formation   -0.10 eV/atom


(2)
First-principles (PBE-GGA) data for a relaxed TaTlPd2 crystal, as listed in Alexandria via LeMat-Bulk.

```
TaTlPd2
1.0
7.437 0.000 0.000
0.000 7.437 0.000
3.719 3.719 2.869
Tl Pd Ta
2 4 2
Direct
0.000 0.000 0.000
0.750 0.250 0.500
0.596 0.125 0.250
0.154 0.625 0.250
0.375 0.404 0.750
0.875 0.846 0.750
0.500 0.500 0.000
0.250 0.750 0.500
```

## Properties
Symmetry   No. 122
Energy above the lowest structure with this stoichiometry   121 kJ/mol of formula units
Energy of formation   0.29 eV/atom


(3)
First-principles (PBE-GGA) data for a relaxed TbThS3 crystal, as listed in Alexandria via LeMat-Bulk.

```
TbThS3
1.0
6.770 0.000 0.000
3.385 5.863 0.000
3.385 1.954 6.822
Tb Th S
2 2 6
Direct
0.157 0.157 0.529
0.843 0.843 0.471
0.345 0.345 0.965
0.655 0.655 0.035
0.244 0.951 0.254
0.951 0.551 0.254
0.551 0.244 0.254
0.756 0.449 0.746
0.049 0.756 0.746
0.449 0.049 0.746
```

## Properties
Symmetry   No. 155
Energy above the lowest structure with this stoichiometry   99 kJ/mol of formula units


(4)
First-principles (PBE-GGA) data for a relaxed KSrTe4 crystal, as listed in Alexandria via LeMat-Bulk.

```
KSrTe4
1.0
5.783 -0.134 3.346
1.769 5.187 3.824
-0.004 -0.600 6.655
K Sr Te
1 1 4
Direct
0.750 0.750 0.750
0.000 0.000 0.000
0.876 0.375 0.375
0.375 0.375 0.876
0.375 0.876 0.375
0.375 0.375 0.375
```

## Properties
Symmetry   No. 216
E_tot   -0.110 Ha/atom


no.,density of states at the Fermi level (states/eV/atom),calculated volume (Å³/atom),magnetization (Bohr magnetons per cell)
1,0.592,19.02,0.000
2,1.070,19.83,0.000
3,0.488,27.08,1.243
4,0.848,35.17,0.000